(a)
Below is HoTmIr after structural relaxation, with properties calculated at the PBE level.

Unit cell a=4.7602 b=4.7602 c=6.7281 alpha=90.00 beta=90.00 gamma=90.00
Closest atoms and distances in Å follow each position.
Space group P4_2/mmc (No. 131)
One atom of each set of equivalent atoms:
1 Ho 0.0000 0.0000 0.2500 [2 per cell]  4 Ir 2.91
2 Tm 0.5000 0.5000 0.2500 [2 per cell]  4 Ir 2.91
3 Ir 0.0000 0.5000 0.0000 [2 per cell]  4 Ho 2.91, 4 Tm 2.91

## Properties
DOS at the Fermi energy = 4.35 states/eV per cell

=====

(b)
Below is HoTmIr after structural relaxation, with properties calculated at the PBE level.

Unit cell a=3.4337 b=3.4337 c=12.5895 alpha=90.00 beta=90.00 gamma=90.00
Closest atoms and distances in Å follow each position.
Space group I4mm (No. 107)
One atom of each set of equivalent atoms:
1 Ho 0.0000 0.0000 0.0000 [2 per cell]  4 Ir 2.93, 1 Tm 3.24
2 Tm 0.0000 0.0000 0.7427 [2 per cell]  4 Ir 2.91, 1 Ho 3.24
3 Ir 0.0000 0.0000 0.3697 [2 per cell]  4 Tm 2.91, 4 Ho 2.93

## Properties
DOS at the Fermi energy = 6.34 states/eV per cell

=====

(c)
Below is HoTmIr after structural relaxation, with properties calculated at the PBE level.

Unit cell a=6.7359 b=6.7359 c=6.7359 alpha=90.00 beta=90.00 gamma=90.00
Closest atoms and distances in Å follow each position.
Space group F-43m (No. 216)
One atom of each set of equivalent atoms:
1 Ho 0.0000 0.0000 0.0000 [4 per cell]  4 Ir 2.92
2 Tm 0.0000 0.0000 0.5000 [4 per cell]  4 Ir 2.92
3 Ir 0.2500 0.2500 0.7500 [4 per cell]  4 Ho 2.92, 4 Tm 2.92

## Properties
DOS at the Fermi energy = 11.14 states/eV per cell

=====

It comes down to (a), which is 6 meV/atom more stable than the next structure.